# GdLu2Hg, relaxed, DFT PBE-GGA
# **M_tot**: 8.0 μB/cell
# **Energy above the lowest structure with this stoichiometry**: 0.22 eV/f.u.
data_GdLu2Hg
_chemical_formula_sum 'Gd1 Lu2 Hg1'
_cell_length_a 4.7793
_cell_length_b 4.7793
_cell_length_c 4.6949
_cell_angle_alpha 90.00
_cell_angle_beta 90.00
_cell_angle_gamma 90.00
_space_group_name_H-M_alt 'P 4/m m m'
_space_group_IT_number 123
_space_group_name_Hall '-P 4 2'
loop_
_atom_site_label
_atom_site_fract_x
_atom_site_fract_y
_atom_site_fract_z
Gd1 0.0000 0.0000 0.0000
Lu1 0.0000 0.5000 0.5000
Hg1 0.5000 0.5000 0.0000